Entry 1:
Material: BMoWS2
Method: DFT, SCAN
State: PBEsol geometry

Values from the calculation:
**Energy relative to the elements, uncorrected**: 1.511 eV/atom

Lattice parameters (Å, degrees): 4.573 4.573 4.040 90.00 90.00 90.00
Fractional positions:
B 0.000 0.000 0.000
Mo 0.000 0.000 0.500
W 0.500 0.500 0.000
S 0.000 0.500 0.500
S 0.500 0.000 0.500

=====

Entry 2:
Material: K2AlAs
Method: DFT, SCAN
State: PBEsol geometry

Values from the calculation:
**Formation enthalpy at 0 K**: 98 meV per atom
**Energy above the most stable polymorph in this dataset**: 35.7 meV/atom

Lattice parameters (Å, degrees): 3.140 5.226 6.450 90.00 90.00 90.00
Fractional positions:
K 0.000 0.000 0.230
K 0.000 0.000 0.770
Al 0.500 0.500 0.500
As 0.500 0.500 0.000

=====

| no. | VASP energy (eV/atom) | V (Å³ per cell) |
| --- | --- | --- |
| 1 | -24.74 | 84.5 |
| 2 | -11.05 | 105.8 |